Dy2Zn2FeNi5 (PBE-GGA, optimized geometry); symmetry = P4/mbm, No. 127; DFT total energy = -5.0990 eV/atom; D(E_F) = 0.62 states/eV/atom; DFT formation energy = -0.1868 eV/atom
1.0
9.2681 0.0000 0.0000
0.0000 9.2681 0.0000
0.0000 0.0000 3.4841
Dy Zn Fe Ni
4 4 2 10
Direct
0.1765 0.3235 0.0000
0.3235 0.8235 0.0000
0.6765 0.1765 0.0000
0.8235 0.6765 0.0000
0.1221 0.6221 0.0000
0.3779 0.1221 0.0000
0.6221 0.8779 0.0000
0.8779 0.3779 0.0000
0.0000 0.0000 0.0000
0.5000 0.5000 0.0000
0.0000 0.5000 0.5000
0.0554 0.8057 0.5000
0.1943 0.0554 0.5000
0.3057 0.5554 0.5000
0.4446 0.3057 0.5000
0.5000 0.0000 0.5000
0.5554 0.6943 0.5000
0.6943 0.4446 0.5000
0.8057 0.9446 0.5000
0.9446 0.1943 0.5000